{
  "formula": "MoHPdRh2",
  "functional": "GGA-PBE",
  "state": "relaxed",
  "density_g_cm3": 11.04,
  "spacegroup": "P4/mmm",
  "n_ef_per_ev_atom": 1.14,
  "relative_energy_ev_per_atom": 0.006,
  "cell": [[-1.7560, -3.4830, -0.5189], [3.1116, -1.8062, 1.5937], [-1.6658, 0.3040, 3.5970]],
  "species": ["Mo", "Pd", "Rh", "Rh", "H"],
  "frac_coords": [[0.0000, 0.0000, 0.5000], [0.5000, 0.5000, 0.5000], [0.0000, 0.5000, 0.0000], [0.5000, 0.0000, 0.0000], [0.0000, 0.0000, 0.0000]]
}